[1]
NaScAg3 (GGA-PBEsol, relaxed); DOS(E_F) = 0.4151 states/eV/atom; formation energy from the elements = 647 meV/atom; VASP energy = -2.94 eV/atom; space group = Pm-3m (221)
1.0
-0.015 0.424 5.144
4.539 -2.449 0.215
2.458 4.524 -0.365
Sc Na Ag
1 1 3
Cartesian
0.000 0.000 0.000
3.491 1.250 2.497
2.269 -1.224 0.108
1.229 2.262 -0.183
-0.008 0.212 2.572

[2]
NaScAg2 (GGA-PBEsol, relaxed); DOS(E_F) = 0.8301 states/eV/atom; formation energy from the elements = -5 meV/atom; VASP energy = -3.66 eV/atom; space group = Fm-3m (225)
1.0
-3.978 -0.359 2.643
-0.416 -3.505 3.237
0.130 1.031 4.675
Sc Na Ag
1 1 2
Cartesian
-2.132 -1.416 5.278
0.000 0.000 0.000
-1.066 -0.708 2.639
-3.198 -2.125 7.916

[3]
NaAgSe2 (GGA-PBEsol, relaxed); DOS(E_F) = 0.7254 states/eV/atom; raw formation energy = -0.18 eV per atom; VASP energy = -3.28 eV/atom; space group = Fm-3m (225)
1.0
-0.477 -4.509 1.601
-1.028 -3.548 -3.079
3.334 -3.297 -1.070
Na Se Ag
1 2 1
Cartesian
0.000 0.000 0.000
0.457 -2.839 -0.637
1.371 -8.516 -1.911
0.914 -5.677 -1.274

[4]
NaAgSe2 (GGA-PBEsol, relaxed); DOS(E_F) = 0.3518 states/eV/atom; raw formation energy = -0.34 eV per atom; VASP energy = -3.45 eV/atom; space group = I-42d (122)
1.0
-3.414 3.715 2.820
-3.439 -2.167 4.615
2.316 2.905 4.900
Na Se Ag
2 4 2
Cartesian
-1.415 1.298 5.463
-1.707 1.857 1.410
0.828 1.792 3.084
-4.511 1.732 8.547
-0.925 3.002 8.253
-4.465 2.380 4.787
-3.122 3.155 6.873
0.000 0.000 0.000

[5]
Na2AgSe2 (GGA-PBEsol, relaxed); DOS(E_F) = 0.2467 states/eV/atom; raw formation energy = -0.59 eV per atom; VASP energy = -3.35 eV/atom; space group = P4/mbm (127)
1.0
4.303 0.000 0.000
0.000 7.147 0.000
0.000 0.000 7.147
Na Se Ag
4 4 2
Cartesian
2.152 1.059 4.632
2.152 4.632 6.088
2.152 6.088 2.515
2.152 2.515 1.059
0.000 2.419 5.992
0.000 5.992 4.728
0.000 4.728 1.154
0.000 1.154 2.419
0.000 0.000 0.000
0.000 3.573 3.573

[6]
Na2Si2Ag (GGA-PBEsol, relaxed); DOS(E_F) = 0.2810 states/eV/atom; raw formation energy = 0.02 eV per atom; VASP energy = -3.50 eV/atom; space group = P4/mbm (127)
1.0
4.851 0.000 0.000
0.000 6.397 0.000
0.000 0.000 6.397
Na Si Ag
4 4 2
Cartesian
2.425 1.126 4.325
2.425 4.325 5.271
2.425 5.271 2.072
2.425 2.072 1.126
0.000 2.372 5.571
0.000 5.571 4.025
0.000 4.025 0.826
0.000 0.826 2.372
0.000 0.000 0.000
0.000 3.199 3.199

[7]
NaAg2Sn2 (GGA-PBEsol, relaxed); offset from the most stable computed form = 0.009 eV/atom; DOS(E_F) = 0.4616 states/eV/atom; formation energy from the elements = -25 meV/atom; VASP energy = -3.33 eV/atom; space group = I4/mmm (139)
1.0
-4.026 -1.564 -0.857
0.824 -3.507 2.531
-0.597 5.529 4.026
Na Sn Ag
1 2 2
Cartesian
0.000 0.000 0.000
-1.693 2.306 3.746
-2.106 -1.849 1.954
-0.687 -0.257 3.697
-3.112 0.714 2.003

[8]
Na2Ag2Sn (GGA-PBEsol, relaxed); DOS(E_F) = 0.4322 states/eV/atom; formation energy from the elements = -15 meV/atom; VASP energy = -2.75 eV/atom; space group = P4/mbm (127)
1.0
4.644 0.000 0.000
0.000 7.094 0.000
0.000 0.000 7.094
Na Sn Ag
4 2 4
Cartesian
2.322 1.214 4.761
2.322 4.761 5.880
2.322 5.880 2.333
2.322 2.333 1.214
0.000 0.000 0.000
0.000 3.547 3.547
0.000 2.573 6.120
0.000 6.120 4.521
0.000 4.521 0.974
0.000 0.974 2.573